A plane-wave DFT calculation with PBE was carried out for Cs3HfNp2S6 after structural relaxation.

a = 6.969 Å, b = 6.969 Å, c = 8.393 Å
α = 97.96°, β = 97.96°, γ = 119.99°
Last column: magnetic moment on the atom in μB.
Sites, in units of the cell vectors:
1 S 0.060 0.374 0.179  -0.06
2 S 0.626 0.940 0.821  -0.06
3 S 0.746 0.746 0.180  -0.06
4 S 0.940 0.626 0.821  -0.06
5 S 0.374 0.060 0.179  -0.06
6 S 0.254 0.254 0.820  -0.06
7 Cs 0.168 0.832 0.500  0.01
8 Cs 0.500 0.500 0.500  0.01
9 Cs 0.832 0.168 0.500  0.01
10 Hf 0.000 0.000 0.000  0.30
11 Np 0.667 0.333 0.000  3.98
12 Np 0.333 0.667 0.000  3.98

Formation energy from raw total energies   -1.361 eV/atom

=====

A plane-wave DFT calculation with PBE was carried out for Ta2MnPb after structural relaxation.

a = 4.708 Å, b = 4.708 Å, c = 4.708 Å
α = 60.00°, β = 60.00°, γ = 60.00°
Last column: magnetic moment on the atom in μB.
Sites, in units of the cell vectors:
1 Ta 0.000 0.000 0.000  0.45
2 Ta 0.250 0.250 0.250  -0.23
3 Mn 0.500 0.500 0.500  2.94
4 Pb 0.750 0.750 0.750  -0.02

Formation energy from the elements   0.5346 eV/atom

=====

A plane-wave DFT calculation with PBE was carried out for ZrMn2Nb after structural relaxation.

a = 3.129 Å, b = 4.422 Å, c = 4.422 Å
α = 90.00°, β = 90.00°, γ = 90.00°
Last column: magnetic moment on the atom in μB.
Sites, in units of the cell vectors:
1 Nb 0.500 0.500 0.500  -0.20
2 Zr 0.500 0.000 0.000  -0.11
3 Mn 0.000 0.000 0.500  0.42
4 Mn 0.000 0.500 0.000  0.42

Formation energy from the elements   -0.0593 eV/atom

=====

A plane-wave DFT calculation with PBE was carried out for K2RbBa after structural relaxation.

a = 4.632 Å, b = 4.632 Å, c = 16.068 Å
α = 81.93°, β = 81.93°, γ = 60.02°
Sites, in units of the cell vectors:
1 Ba 0.500 0.500 0.500
2 K 0.087 0.087 0.740
3 K 0.247 0.247 0.260
4 Rb 0.667 0.667 0.000

Formation energy from the elements   0.0529 eV/atom
Excess energy over the best structure of this formula in the dataset   0.0000 eV/atom

=====

A plane-wave DFT calculation with PBE was carried out for LiAgPd4 after structural relaxation.

a = 4.820 Å, b = 6.907 Å, c = 7.340 Å
α = 118.07°, β = 115.91°, γ = 90.00°
Sites, in units of the cell vectors:
1 Pd 0.330 0.069 0.751
2 Pd 0.670 0.318 0.249
3 Pd 0.330 0.682 0.751
4 Pd 0.060 0.662 0.325
5 Pd 0.940 0.338 0.675
6 Pd 0.000 0.795 0.000
7 Pd 0.000 0.205 0.000
8 Pd 0.670 0.931 0.249
9 Ag 0.282 0.213 0.425
10 Ag 0.718 0.787 0.575
11 Li 0.360 0.553 0.106
12 Li 0.640 0.447 0.894

Formation energy from the elements   -0.0321 eV/atom
Excess energy over the best structure of this formula in the dataset   0.0515 eV/atom

=====

A plane-wave DFT calculation with PBE was carried out for Ti6CCl14 after structural relaxation.

a = 9.518 Å, b = 9.518 Å, c = 11.282 Å
α = 90.00°, β = 90.00°, γ = 90.06°
Sites, in units of the cell vectors:
1 Cl 0.373 0.373 0.260
2 Cl 0.215 0.971 0.266
3 Cl 0.471 0.715 0.234
4 Cl 0.661 0.906 0.480
5 Cl 0.529 0.285 0.766
6 Cl 0.622 0.122 0.250
7 Cl 0.971 0.215 0.266
8 Cl 0.785 0.029 0.734
9 Cl 0.627 0.627 0.740
10 Cl 0.285 0.529 0.766
11 Cl 0.127 0.127 0.760
12 Cl 0.878 0.378 0.750
13 Cl 0.406 0.161 0.020
14 Cl 0.750 0.250 0.500
15 Cl 0.378 0.878 0.750
16 Cl 0.339 0.094 0.520
17 Cl 0.839 0.594 0.980
18 Cl 0.161 0.406 0.020
19 Cl 0.750 0.250 0.000
20 Cl 0.906 0.661 0.480
21 Cl 0.250 0.750 0.500
22 Cl 0.029 0.785 0.734
23 Cl 0.250 0.750 0.000
24 Cl 0.594 0.839 0.980
25 Cl 0.094 0.339 0.520
26 Cl 0.122 0.622 0.250
27 Cl 0.873 0.873 0.240
28 Cl 0.715 0.471 0.234
29 Ti 0.671 0.443 0.883
30 Ti 0.869 0.869 0.590
31 Ti 0.171 0.943 0.617
32 Ti 0.943 0.171 0.617
33 Ti 0.369 0.369 0.910
34 Ti 0.131 0.131 0.410
35 Ti 0.631 0.631 0.090
36 Ti 0.829 0.057 0.383
37 Ti 0.557 0.329 0.117
38 Ti 0.443 0.671 0.883
39 Ti 0.057 0.829 0.383
40 Ti 0.329 0.557 0.117
41 C 0.000 0.000 0.500
42 C 0.500 0.500 0.000

Formation energy from raw total energies   -1.599 eV/atom